# NdPuCu2S4

Crystalline NdPuCu2S4 at its relaxed geometry (PBE, Alexandria via LeMat-Bulk).

Cell and atoms, written as POSCAR:
```
NdPuCu2S4
1.0
6.6130 0.0000 0.0000
3.3065 4.9297 0.0692
3.3065 0.4730 4.9074
Nd S Cu Pu
1 4 2 1
Direct
0.5000 0.5000 0.5000
0.9868 0.5161 0.0332
0.4639 0.0332 0.5161
0.0132 0.9668 0.4839
0.5361 0.4839 0.9668
0.8098 0.6902 0.6902
0.1902 0.3098 0.3098
0.0000 0.0000 0.0000
```

Output
space group: I222, No. 23
E_form (uncorrected): -1096 meV/atom
size of the total moment: 5.2 Bohr magnetons per cell
energy: -52.6 eV/f.u.